1.
Compound: Co2NiPdC
Source: the Alexandria database
Functional: PBE
Structure: relaxed

Lattice parameters (Å, degrees): 3.775 3.775 3.840 90.00 90.00 90.00
Site moments in Bohr magnetons follow the coordinates.
Element x y z (fractional)
Pd  0.500  0.500  0.500  0.31
Ni  0.000  0.000  0.500  0.19
Co  0.500  0.000  0.000  0.97
Co  0.000  0.500  0.000  0.97
C  0.000  0.000  0.000  -0.05

ΔH_f (0 K) ... 0.879 eV per formula unit
Fermi-level density of states ... 1.388 states/eV/atom

***

2.
Compound: CoNi2PdC
Source: the Alexandria database
Functional: PBE
Structure: relaxed

Lattice parameters (Å, degrees): 3.821 3.821 3.759 90.00 90.00 90.00
Site moments in Bohr magnetons follow the coordinates.
Element x y z (fractional)
C  0.000  0.000  0.000  -0.02
Pd  0.500  0.500  0.500  0.24
Ni  0.000  0.500  0.000  0.19
Ni  0.500  0.000  0.000  0.19
Co  0.000  0.000  0.500  0.96

ΔH_f (0 K) ... 0.799 eV per formula unit
Fermi-level density of states ... 1.402 states/eV/atom

***

3.
Compound: CoNi2PtC
Source: the Alexandria database
Functional: PBE
Structure: relaxed

Lattice parameters (Å, degrees): 3.826 3.826 3.768 90.00 90.00 90.00
Site moments in Bohr magnetons follow the coordinates.
Element x y z (fractional)
Ni  0.000  0.500  0.000  0.30
Ni  0.500  0.000  0.000  0.30
Pt  0.500  0.500  0.500  0.27
C  0.000  0.000  0.000  -0.02
Co  0.000  0.000  0.500  1.16

ΔH_f (0 K) ... 0.784 eV per formula unit
Fermi-level density of states ... 1.329 states/eV/atom

***

4.
Compound: Co2NiPtC
Source: the Alexandria database
Functional: PBE
Structure: relaxed

Lattice parameters (Å, degrees): 3.780 3.780 3.852 90.00 90.00 90.00
Site moments in Bohr magnetons follow the coordinates.
Element x y z (fractional)
C  0.000  0.000  0.000  -0.05
Co  0.500  0.000  0.000  1.12
Co  0.000  0.500  0.000  1.12
Ni  0.000  0.000  0.500  0.34
Pt  0.500  0.500  0.500  0.33

ΔH_f (0 K) ... 0.807 eV per formula unit
Fermi-level density of states ... 1.523 states/eV/atom

***

no.,M_tot (μB/f.u.)
1,2.319
2,1.515
3,2.009
4,2.815